# Er2CdHg6 PBE-GGA optimized geometry
data_Er2CdHg6
_chemical_formula_sum 'Er4 Cd2 Hg12'
_cell_length_a 8.338
_cell_length_b 8.773
_cell_length_c 5.925
_cell_angle_alpha 90.00
_cell_angle_beta 93.02
_cell_angle_gamma 90.00
_space_group_name_H-M_alt 'C 1 2/m 1'
_space_group_IT_number 12
_space_group_name_Hall '-C 2y'
loop_
_atom_site_label
_atom_site_type_symbol
_atom_site_fract_x
_atom_site_fract_y
_atom_site_fract_z
Er1 Er 0.174 0.000 0.178
Cd1 Cd 0.000 0.500 0.500
Hg1 Hg 0.000 0.335 0.000
Hg2 Hg 0.167 0.165 0.668
# Total magnetic moment = 0.000 μB per formula unit
# Volume = 24.045 A^3/atom
# Electronic total energy = -1.54 eV per atom
# Relative energy among the computed polymorphs = 0.352 eV per formula unit



# Er2Cd5Hg12 PBE-GGA optimized geometry
data_Er2Cd5Hg12
_chemical_formula_sum 'Er4 Cd10 Hg24'
_cell_length_a 14.995
_cell_length_b 9.769
_cell_length_c 6.486
_cell_angle_alpha 90.00
_cell_angle_beta 93.31
_cell_angle_gamma 90.00
_space_group_name_H-M_alt 'C 1 2/m 1'
_space_group_IT_number 12
_space_group_name_Hall '-C 2y'
loop_
_atom_site_label
_atom_site_type_symbol
_atom_site_fract_x
_atom_site_fract_y
_atom_site_fract_z
Er1 Er 0.000 0.245 0.000
Cd1 Cd 0.000 0.500 0.500
Cd2 Cd 0.161 0.000 0.874
Cd3 Cd 0.229 0.500 0.511
Hg1 Hg 0.046 0.000 0.291
Hg2 Hg 0.107 0.253 0.613
Hg3 Hg 0.121 0.500 0.038
Hg4 Hg 0.196 0.229 0.200
# Total magnetic moment = 0.000 μB per formula unit
# Volume = 24.963 A^3/atom
# Electronic total energy = -0.99 eV per atom
# Relative energy among the computed polymorphs = 0.231 eV per formula unit



# ErCd2Hg PBE-GGA optimized geometry
data_ErCd2Hg
_chemical_formula_sum 'Er1 Cd2 Hg1'
_cell_length_a 3.757
_cell_length_b 3.757
_cell_length_c 6.888
_cell_angle_alpha 90.00
_cell_angle_beta 90.00
_cell_angle_gamma 90.00
_space_group_name_H-M_alt 'P 4/m m m'
_space_group_IT_number 123
_space_group_name_Hall '-P 4 2'
loop_
_atom_site_label
_atom_site_type_symbol
_atom_site_fract_x
_atom_site_fract_y
_atom_site_fract_z
Er1 Er 0.000 0.000 0.000
Cd1 Cd 0.500 0.500 0.262
Hg1 Hg 0.000 0.000 0.500
# Total magnetic moment = 0.064 μB per formula unit
# Volume = 24.302 A^3/atom
# Electronic total energy = -1.84 eV per atom
# Relative energy among the computed polymorphs = 0.498 eV per formula unit



# Er5CdHg6 PBE-GGA optimized geometry
data_Er5CdHg6
_chemical_formula_sum 'Er5 Cd1 Hg6'
_cell_length_a 5.180
_cell_length_b 7.347
_cell_length_c 8.149
_cell_angle_alpha 90.00
_cell_angle_beta 108.40
_cell_angle_gamma 90.00
_space_group_name_H-M_alt 'P 1 2/m 1'
_space_group_IT_number 10
_space_group_name_Hall '-P 2y'
loop_
_atom_site_label
_atom_site_type_symbol
_atom_site_fract_x
_atom_site_fract_y
_atom_site_fract_z
Er1 Er 0.000 0.000 0.000
Er2 Er 0.328 0.000 0.656
Er3 Er 0.343 0.500 0.686
Cd1 Cd 0.000 0.500 0.000
Hg1 Hg 0.168 0.258 0.336
Hg2 Hg 0.500 0.236 0.000
# Total magnetic moment = 0.000 μB per formula unit
# Volume = 24.523 A^3/atom
# Electronic total energy = -2.56 eV per atom



# Er8CdHg2 PBE-GGA optimized geometry
data_Er8CdHg2
_chemical_formula_sum 'Er16 Cd2 Hg4'
_cell_length_a 8.731
_cell_length_b 14.431
_cell_length_c 5.438
_cell_angle_alpha 90.00
_cell_angle_beta 111.34
_cell_angle_gamma 90.00
_space_group_name_H-M_alt 'C 1 2/m 1'
_space_group_IT_number 12
_space_group_name_Hall '-C 2y'
loop_
_atom_site_label
_atom_site_type_symbol
_atom_site_fract_x
_atom_site_fract_y
_atom_site_fract_z
Er1 Er 0.000 0.220 0.000
Er2 Er 0.106 0.500 0.803
Er3 Er 0.212 0.116 0.610
Cd1 Cd 0.000 0.000 0.000
Hg1 Hg 0.000 0.304 0.500
# Total magnetic moment = 0.000 μB per formula unit
# Volume = 29.007 A^3/atom
# Electronic total energy = -3.55 eV per atom



# ErCd5Hg4 PBE-GGA optimized geometry
data_ErCd5Hg4
_chemical_formula_sum 'Er2 Cd10 Hg8'
_cell_length_a 16.409
_cell_length_b 4.912
_cell_length_c 6.962
_cell_angle_alpha 90.00
_cell_angle_beta 114.37
_cell_angle_gamma 90.00
_space_group_name_H-M_alt 'C 1 2/m 1'
_space_group_IT_number 12
_space_group_name_Hall '-C 2y'
loop_
_atom_site_label
_atom_site_type_symbol
_atom_site_fract_x
_atom_site_fract_y
_atom_site_fract_z
Er1 Er 0.000 0.000 0.000
Cd1 Cd 0.000 0.000 0.500
Cd2 Cd 0.159 0.500 0.157
Cd3 Cd 0.178 0.000 0.444
Hg1 Hg 0.003 0.500 0.278
Hg2 Hg 0.174 0.000 0.906
# Total magnetic moment = 0.000 μB per formula unit
# Volume = 25.558 A^3/atom
# Electronic total energy = -1.15 eV per atom



# ErCd14Hg PBE-GGA optimized geometry
data_ErCd14Hg
_chemical_formula_sum 'Er1 Cd14 Hg1'
_cell_length_a 6.560
_cell_length_b 6.560
_cell_length_c 8.615
_cell_angle_alpha 90.00
_cell_angle_beta 90.00
_cell_angle_gamma 90.00
_space_group_name_H-M_alt 'P 4/m m m'
_space_group_IT_number 123
_space_group_name_Hall '-P 4 2'
loop_
_atom_site_label
_atom_site_type_symbol
_atom_site_fract_x
_atom_site_fract_y
_atom_site_fract_z
Er1 Er 0.000 0.000 0.000
Cd1 Cd 0.000 0.000 0.500
Cd2 Cd 0.000 0.500 0.000
Cd3 Cd 0.000 0.500 0.500
Cd4 Cd 0.252 0.252 0.254
Cd5 Cd 0.500 0.500 0.500
Hg1 Hg 0.500 0.500 0.000
# Total magnetic moment = 0.000 μB per formula unit
# Volume = 23.168 A^3/atom
# Electronic total energy = -1.14 eV per atom



# ErCd2Hg PBE-GGA optimized geometry
data_ErCd2Hg
_chemical_formula_sum 'Er2 Cd4 Hg2'
_cell_length_a 5.067
_cell_length_b 5.067
_cell_length_c 7.143
_cell_angle_alpha 90.00
_cell_angle_beta 90.00
_cell_angle_gamma 90.00
_space_group_name_H-M_alt 'I -4 m 2'
_space_group_IT_number 119
_space_group_name_Hall 'I -4 -2'
loop_
_atom_site_label
_atom_site_type_symbol
_atom_site_fract_x
_atom_site_fract_y
_atom_site_fract_z
Er1 Er 0.000 0.000 0.000
Cd1 Cd 0.000 0.000 0.500
Cd2 Cd 0.000 0.500 0.750
Hg1 Hg 0.000 0.500 0.250
# Total magnetic moment = 0.000 μB per formula unit
# Volume = 22.921 A^3/atom
# Electronic total energy = -1.96 eV per atom
# Relative energy among the computed polymorphs = 0.000 eV per formula unit



# ErCd3Hg6 PBE-GGA optimized geometry
data_ErCd3Hg6
_chemical_formula_sum 'Er6 Cd18 Hg36'
_cell_length_a 13.2755
_cell_length_b 13.2755
_cell_length_c 10.1193
_cell_angle_alpha 90.00
_cell_angle_beta 90.00
_cell_angle_gamma 120.00
_space_group_name_H-M_alt 'R -3 c'
_space_group_IT_number 167
_space_group_name_Hall '-R 3 2"c'
loop_
_atom_site_label
_atom_site_type_symbol
_atom_site_fract_x
_atom_site_fract_y
_atom_site_fract_z
Er1 Er 0.0000 0.0000 0.0000
Cd1 Cd 0.0000 0.1545 0.2500
Hg1 Hg 0.0388 0.2463 0.9384
# Total magnetic moment = 0.000 μB per formula unit
# Volume = 25.741 A^3/atom
# Electronic total energy = -1.01 eV per atom
# Relative energy among the computed polymorphs = 0.000 eV per formula unit



# Er2CdHg8 PBE-GGA optimized geometry
data_Er2CdHg8
_chemical_formula_sum 'Er4 Cd2 Hg16'
_cell_length_a 17.252
_cell_length_b 4.772
_cell_length_c 6.885
_cell_angle_alpha 90.00
_cell_angle_beta 108.39
_cell_angle_gamma 90.00
_space_group_name_H-M_alt 'C 1 2/m 1'
_space_group_IT_number 12
_space_group_name_Hall '-C 2y'
loop_
_atom_site_label
_atom_site_type_symbol
_atom_site_fract_x
_atom_site_fract_y
_atom_site_fract_z
Er1 Er 0.212 0.000 0.176
Cd1 Cd 0.000 0.500 0.500
Hg1 Hg 0.028 0.000 0.227
Hg2 Hg 0.108 0.500 0.924
Hg3 Hg 0.154 0.500 0.391
Hg4 Hg 0.164 0.000 0.694
# Total magnetic moment = 0.000 μB per formula unit
# Volume = 24.450 A^3/atom
# Electronic total energy = -1.32 eV per atom
# Relative energy among the computed polymorphs = 0.246 eV per formula unit



# ErCd3Hg4 PBE-GGA optimized geometry
data_ErCd3Hg4
_chemical_formula_sum 'Er2 Cd6 Hg8'
_cell_length_a 18.731
_cell_length_b 4.702
_cell_length_c 4.442
_cell_angle_alpha 90.00
_cell_angle_beta 103.15
_cell_angle_gamma 90.00
_space_group_name_H-M_alt 'C 1 2/m 1'
_space_group_IT_number 12
_space_group_name_Hall '-C 2y'
loop_
_atom_site_label
_atom_site_type_symbol
_atom_site_fract_x
_atom_site_fract_y
_atom_site_fract_z
Er1 Er 0.000 0.000 0.000
Cd1 Cd 0.000 0.500 0.500
Cd2 Cd 0.127 0.500 0.124
Hg1 Hg 0.120 0.000 0.617
Hg2 Hg 0.249 0.000 0.248
# Total magnetic moment = 0.000 μB per formula unit
# Volume = 23.807 A^3/atom
# Electronic total energy = -1.19 eV per atom
# Relative energy among the computed polymorphs = 0.269 eV per formula unit